The following is a DFT calculation (PBE) of an optimized crystal structure of Na4IBr3.

Density of states at the Fermi level   0.000 states/eV per atom
Calculated density   3230 kg/m³
Uncorrected formation energy   -1.47 eV per atom
M_tot   0.00 μB per formula unit

a = 6.1779 Å, b = 6.1779 Å, c = 6.1779 Å
α = 90.00°, β = 90.00°, γ = 90.00°
Space group Pm-3m (No. 221)
One atom of each set of equivalent atoms:
Na (0.0000, 0.0000, 0.0000) (multiplicity 1)
Na (0.0000, 0.5000, 0.5000) (multiplicity 3)
I (0.5000, 0.5000, 0.5000) (multiplicity 1)
Br (0.0000, 0.0000, 0.5000) (multiplicity 3)

***

The following is a DFT calculation (PBE) of an optimized crystal structure of Sr2TlAs2.

Density of states at the Fermi level   0.399 states/eV per atom
Calculated density   5498 kg/m³
M_tot   0.00 μB per formula unit
Formation energy from the elements   -0.7692 eV per atom

a = 4.4708 Å, b = 17.2398 Å, c = 8.2991 Å
α = 90.00°, β = 90.00°, γ = 90.00°
Space group Cmc2_1 (No. 36)
One atom of each set of equivalent atoms:
Sr (0.0000, 0.0401, 0.0000) (multiplicity 4)
Sr (0.0000, 0.1971, 0.3752) (multiplicity 4)
Tl (0.0000, 0.4018, 0.1576) (multiplicity 4)
As (0.0000, 0.1868, 0.7680) (multiplicity 4)
As (0.0000, 0.4436, 0.7942) (multiplicity 4)

***

The following is a DFT calculation (PBE) of an optimized crystal structure of SrHoTlSn.

Density of states at the Fermi level   0.577 states/eV per atom
Calculated density   7974 kg/m³
M_tot   0.00 μB per formula unit
Formation energy from the elements   -0.4178 eV per atom

a = 7.8270 Å, b = 7.8270 Å, c = 7.8270 Å
α = 90.00°, β = 90.00°, γ = 90.00°
Space group F-43m (No. 216)
One atom of each set of equivalent atoms:
Sr (0.0000, 0.0000, 0.0000) (multiplicity 4)
Ho (0.0000, 0.0000, 0.5000) (multiplicity 4)
Tl (0.2500, 0.2500, 0.2500) (multiplicity 4)
Sn (0.2500, 0.2500, 0.7500) (multiplicity 4)

***

The following is a DFT calculation (PBE) of an optimized crystal structure of Tb3Nd9Sm2.

Density of states at the Fermi level   1.280 states/eV per atom
Calculated density   6821 kg/m³
M_tot   0.00 μB per formula unit
Formation energy from the elements   0.2358 eV per atom

a = 9.1707 Å, b = 9.1707 Å, c = 13.8766 Å
α = 90.00°, β = 90.00°, γ = 120.00°
Space group P6_3/m (No. 176)
One atom of each set of equivalent atoms:
Tb (0.0787, 0.2495, 0.2500) (multiplicity 6)
Nd (0.0812, 0.4812, 0.7500) (multiplicity 6)
Nd (0.1306, 0.7240, 0.5402) (multiplicity 12)
Sm (0.3333, 0.6667, 0.1414) (multiplicity 4)

***

The following is a DFT calculation (PBE) of an optimized crystal structure of AcZn4Ag12.

Density of states at the Fermi level   0.265 states/eV per atom
Calculated density   8058 kg/m³
M_tot   0.00 μB per formula unit
Formation energy from the elements   0.2084 eV per atom

a = 9.0240 Å, b = 9.0240 Å, c = 9.0240 Å
α = 90.00°, β = 90.00°, γ = 90.00°
Space group Im-3 (No. 204)
One atom of each set of equivalent atoms:
Ac (0.0000, 0.0000, 0.0000) (multiplicity 2)
Zn (0.2500, 0.2500, 0.2500) (multiplicity 8)
Ag (0.0000, 0.1579, 0.3477) (multiplicity 24)

***

The following is a DFT calculation (PBE) of an optimized crystal structure of K2Rb3SrBr6.

Density of states at the Fermi level   0.156 states/eV per atom
Calculated density   2972 kg/m³
Uncorrected formation energy   -1.68 eV per atom
M_tot   0.00 μB per formula unit

a = 8.4446 Å, b = 14.6132 Å, c = 8.6319 Å
α = 90.00°, β = 108.92°, γ = 90.00°
Space group C2/m (No. 12)
One atom of each set of equivalent atoms:
K (0.0000, 0.1660, 0.0000) (multiplicity 4)
Rb (0.0000, 0.0000, 0.5000) (multiplicity 2)
Rb (0.0000, 0.3300, 0.5000) (multiplicity 4)
Sr (0.0000, 0.5000, 0.0000) (multiplicity 2)
Br (0.2262, 0.3467, 0.2180) (multiplicity 8)
Br (0.2322, 0.5000, 0.7799) (multiplicity 4)